This record from the Alexandria database describes a relaxed Pr3IrBr3 crystal. The functional is PBE.

Cell: 9.0953 4.2146 12.3128 Å, 90.00 92.57 90.00°
Closest atoms and distances in Å follow each position.
Fractional positions:
Pr 0.1034 0.2500 0.3845  3 Ir 2.89-2.94
Pr 0.1238 0.2500 0.8476  1 Ir 2.76, 2 Br 3.06
Pr 0.3241 0.7500 0.6227  2 Ir 2.84, 2 Br 3.10-3.15
Pr 0.6759 0.2500 0.3773  2 Ir 2.84, 2 Br 3.10-3.15
Pr 0.8762 0.7500 0.1524  1 Ir 2.76, 2 Br 3.06
Pr 0.8966 0.7500 0.6155  3 Ir 2.89-2.94
Ir 0.1147 0.2500 0.6234  6 Pr 2.76-2.94
Ir 0.8853 0.7500 0.3766  6 Pr 2.76-2.94
Br 0.1183 0.2500 0.1133  4 Pr 3.10-3.35
Br 0.3661 0.7500 0.8736  3 Pr 3.06-3.10
Br 0.3906 0.7500 0.3738  5 Pr 3.15-3.36
Br 0.6094 0.2500 0.6262  5 Pr 3.15-3.36
Br 0.6339 0.2500 0.1264  3 Pr 3.06-3.10
Br 0.8817 0.7500 0.8867  4 Pr 3.10-3.35

Properties
Formation energy from raw total energies in eV per atom: -1.370

***

This record from the Alexandria database describes a relaxed In2RePb crystal. The functional is PBE.

Cell: 5.4920 5.4920 3.0193 Å, 90.00 90.00 106.32°
Closest atoms and distances in Å follow each position.
Fractional positions:
In 0.0000 0.5000 0.0000  4 In 3.02-3.29, 4 Pb 3.13, 4 Re 3.13
In 0.5000 0.0000 0.0000  4 In 3.02-3.29, 4 Pb 3.13, 4 Re 3.13
Re 0.0000 0.0000 0.5000  2 Re 3.02, 8 In 3.13, 2 Pb 3.29
Pb 0.5000 0.5000 0.5000  2 Pb 3.02, 8 In 3.13, 2 Re 3.29

Properties
Energy relative to the elements in eV per atom: 0.800

***

This record from the Alexandria database describes a relaxed P3Ir2Au crystal. The functional is PBE.

Cell: 3.7709 4.4679 6.0206 Å, 80.52 82.46 88.67°
Closest atoms and distances in Å follow each position.
Fractional positions:
P 0.0000 0.0000 0.0000  4 Ir 2.40-2.43
P 0.0902 0.1246 0.4813  3 Ir 2.37-2.47, 2 Au 2.41-2.54
P 0.5444 0.5180 0.9021  4 Ir 2.37-2.44
Ir 0.5532 0.0557 0.7391  6 P 2.38-2.47
Ir 0.9982 0.4655 0.1486  5 P 2.37-2.41
Au 0.3751 0.6375 0.4660  2 P 2.41-2.54

Properties
Energy relative to the elements in eV per atom: -0.205

***

Going through the records in order, we get total magnetization values of 0.000, 0.000, 0.000 μB per atom.
Going through the records in order, we get ρ values of 6.0, 11.8, 11.3 Mg/m³.
Going through the records in order, we get relative energy among the computed polymorphs values of 0.028, 0.355, 0.059 eV per atom.